[1]
This record from Alexandria via LeMat-Bulk describes YCoRe2 at its PBEsol-relaxed geometry. The functional is SCAN.

Computed properties:
Crystal system = orthorhombic

Cell: 3.1668 4.7024 8.6438 Å, 90.00 90.00 90.00°
Closest atoms and distances in Å follow each position.
Space group Imm2 (No. 44)
Asymmetric unit:
Y: 0.0000 0.0000 0.0000 x2  4 Co 2.82-3.08, 8 Re 2.84-3.01
Co: 0.0000 0.5000 0.7698 x2  2 Re 2.48
Re: 0.0000 0.0000 0.4904 x2  2 Co 2.48, 2 Re 2.53
Re: 0.0000 0.5000 0.2180 x2  2 Re 2.53



[2]
This record from Alexandria via LeMat-Bulk describes Y3CoRe at its PBEsol-relaxed geometry. The functional is SCAN.

Computed properties:
Crystal system = cubic

Cell: 5.2519 5.2519 5.2519 Å, 90.00 90.00 90.00°
Closest atoms and distances in Å follow each position.
Space group Pm-3m (No. 221)
Asymmetric unit:
Y: 0.0000 0.0000 0.5000 x3  2 Re 2.63
Co: 0.5000 0.5000 0.5000 x1  12 Y 3.71
Re: 0.0000 0.0000 0.0000 x1  6 Y 2.63



[3]
This record from Alexandria via LeMat-Bulk describes ZnCoRe2 at its PBEsol-relaxed geometry. The functional is SCAN.

Computed properties:
Crystal system = tetragonal

Cell: 3.7498 3.7498 7.4243 Å, 90.00 90.00 90.00°
Closest atoms and distances in Å follow each position.
Space group I-4m2 (No. 119)
Asymmetric unit:
Zn: 0.0000 0.0000 0.0000 x2  4 Co 2.64, 8 Re 2.64-2.65
Co: 0.0000 0.5000 0.2500 x2  8 Re 2.64-2.65, 4 Zn 2.64
Re: 0.0000 0.0000 0.5000 x2  4 Co 2.64, 4 Re 2.64, 4 Zn 2.65
Re: 0.0000 0.5000 0.7500 x2  4 Re 2.64, 4 Zn 2.64, 4 Co 2.65



[4]
This record from Alexandria via LeMat-Bulk describes ZnCoRe2 at its PBEsol-relaxed geometry. The functional is SCAN.

Computed properties:
Crystal system = orthorhombic

Cell: 2.6851 3.7731 5.2065 Å, 90.00 90.00 90.00°
Closest atoms and distances in Å follow each position.
Space group Pmm2 (No. 25)
Asymmetric unit:
Zn: 0.0000 0.0000 0.0000 x1  6 Re 2.53-2.71, 4 Co 2.57, 2 Zn 2.69
Co: 0.5000 0.5000 0.2148 x1  6 Re 2.52-2.71, 4 Zn 2.57, 2 Co 2.69
Re: 0.0000 0.0000 0.4867 x1  2 Zn 2.53-2.67, 6 Re 2.64-2.69, 4 Co 2.71
Re: 0.5000 0.5000 0.7302 x1  2 Co 2.52-2.68, 6 Re 2.64-2.69, 4 Zn 2.71



[5]
This record from Alexandria via LeMat-Bulk describes ZnCoRe2 at its PBEsol-relaxed geometry. The functional is SCAN.

Computed properties:
Crystal system = orthorhombic

Cell: 3.1264 4.0699 4.1684 Å, 90.00 90.00 90.00°
Closest atoms and distances in Å follow each position.
Space group Pmmm (No. 47)
Asymmetric unit:
Zn: 0.0000 0.0000 0.0000 x1  4 Co 2.57, 4 Re 2.61
Co: 0.5000 0.5000 0.0000 x1  4 Zn 2.57, 4 Re 2.61
Re: 0.0000 0.5000 0.5000 x1  4 Re 2.57, 4 Co 2.61
Re: 0.5000 0.0000 0.5000 x1  4 Re 2.57, 4 Zn 2.61



[6]
This record from Alexandria via LeMat-Bulk describes ZrCoRe2 at its PBEsol-relaxed geometry. The functional is SCAN.

Computed properties:
Crystal system = orthorhombic

Cell: 3.7859 3.7932 8.2055 Å, 90.00 90.00 90.00°
Closest atoms and distances in Å follow each position.
Space group Cmmm (No. 65)
Asymmetric unit:
Zr: 0.0000 0.0000 0.0000 x2  4 Zr 2.68
Co: 0.0000 0.0000 0.5000 x2  8 Re 2.56-2.57, 4 Co 2.68
Re: 0.0000 0.5000 0.2893 x4  4 Co 2.56-2.57, 4 Re 2.68



[7]
This record from Alexandria via LeMat-Bulk describes ZrCo2Re at its PBEsol-relaxed geometry. The functional is SCAN.

Computed properties:
Crystal system = cubic

Cell: 6.0269 6.0269 6.0269 Å, 90.00 90.00 90.00°
Closest atoms and distances in Å follow each position.
Space group F-43m (No. 216)
Asymmetric unit:
Zr: 0.0000 0.0000 0.0000 x4  4 Re 2.61, 4 Co 2.61
Co: 0.0000 0.0000 0.5000 x4  4 Co 2.61, 4 Re 2.61
Co: 0.2500 0.2500 0.2500 x4  4 Zr 2.61, 4 Co 2.61
Re: 0.2500 0.2500 0.7500 x4  4 Zr 2.61, 4 Co 2.61



[8]
This record from Alexandria via LeMat-Bulk describes ZrCoRe2 at its PBEsol-relaxed geometry. The functional is SCAN.

Computed properties:
Crystal system = tetragonal

Cell: 3.7738 3.7738 8.4107 Å, 90.00 90.00 90.00°
Closest atoms and distances in Å follow each position.
Space group I4/mmm (No. 139)
Asymmetric unit:
Zr: 0.0000 0.0000 0.0000 x2  4 Co 2.67, 8 Re 2.83
Co: 0.0000 0.0000 0.5000 x2  4 Zr 2.67, 8 Re 2.83
Re: 0.0000 0.5000 0.2500 x4  4 Re 2.67, 4 Zr 2.83, 4 Co 2.83



Number 1: energy of formation from the pure elements 0.397 eV/atom, E_tot -46.439 eV/atom. Number 2: energy of formation from the pure elements 0.621 eV/atom, E_tot -33.765 eV/atom. Number 3: energy of formation from the pure elements 0.218 eV/atom, E_tot -43.035 eV/atom. Number 4: energy of formation from the pure elements 0.230 eV/atom, E_tot -43.024 eV/atom. Number 5: energy of formation from the pure elements 0.231 eV/atom, E_tot -43.023 eV/atom. Number 6: energy of formation from the pure elements 0.134 eV/atom, E_tot -47.415 eV/atom. Number 7: energy of formation from the pure elements 0.276 eV/atom, E_tot -33.825 eV/atom. Number 8: energy of formation from the pure elements 0.179 eV/atom, E_tot -47.371 eV/atom.